1.
First-principles (meta-GGA SCAN) data for LiBiO2 at its PBEsol-relaxed geometry, as listed in Alexandria.

It has space group C2/c (No. 15), with a = 7.0004 Å, b = 8.4513 Å, c = 5.4544 Å, α = 90.00°, β = 129.35° and γ = 90.00°. The inequivalent atoms are Li at (0.0000, 0.0454, 0.2500), Bi at (0.0000, 0.3840, 0.7500) and O at (0.2427, 0.4553, 0.2696).

The formation energy without anion corrections is -5.8 eV/f.u.

2.
First-principles (meta-GGA SCAN) data for CaMgIn2 at its PBEsol-relaxed geometry, as listed in Alexandria.

It has space group P4/mmm (No. 123), with a = 3.6417 Å, b = 3.6417 Å, c = 7.4162 Å, α = 90.00°, β = 90.00° and γ = 90.00°. The inequivalent atoms are Ca at (0.0000, 0.0000, 0.0000), Mg at (0.0000, 0.0000, 0.5000) and In at (0.5000, 0.5000, 0.2815).

The formation energy is -1.765 eV/f.u.

The calculation returns the following energy values, one per record and in order: -24.806; -20.794 eV/atom.